# CeTiSi2O8 | Alexandria | PBE | optimized geometry
# Crystal system = trigonal
# Symmetry = No. 164
# E_form (uncorrected) = -2.8212 eV per atom
data_CeTiSi2O8
_chemical_formula_sum 'Ce1 Ti1 Si2 O8'
_cell_length_a 5.220
_cell_length_b 5.220
_cell_length_c 6.463
_cell_angle_alpha 90.00
_cell_angle_beta 90.00
_cell_angle_gamma 120.00
_space_group_name_H-M_alt 'P 1'
_space_group_IT_number 1
loop_
_space_group_symop_operation_xyz
'x,y,z'
loop_
_atom_site_label
_atom_site_type_symbol
_atom_site_fract_x
_atom_site_fract_y
_atom_site_fract_z
Ce1 Ce 0.000 0.000 0.000
Ti1 Ti 0.000 0.000 0.500
Si1 Si 0.333 0.667 0.220
Si2 Si 0.667 0.333 0.780
O1 O 0.162 0.325 0.304
O2 O 0.162 0.838 0.304
O3 O 0.325 0.162 0.696
O4 O 0.333 0.667 0.970
O5 O 0.667 0.333 0.030
O6 O 0.675 0.838 0.304
O7 O 0.838 0.162 0.696
O8 O 0.838 0.675 0.696